Below is an optimized crystal structure of Li2MoIr, with properties calculated at the PBE level.

Unit cell a=5.1447 b=5.1447 c=2.6141 alpha=90.00 beta=90.00 gamma=122.12
Closest atoms and distances in Å follow each position.
Fractional positions:
Ir 0.0000 0.5000 0.5000  2 Mo 2.49, 2 Ir 2.61
Li 0.5000 0.5000 0.0000  4 Li 2.49-2.61
Li 0.0000 0.0000 0.0000  4 Li 2.49-2.61
Mo 0.5000 0.0000 0.5000  2 Ir 2.49, 2 Mo 2.61

Output
SG: Cmmm
Formation enthalpy at 0 K: 0.82 eV/f.u.
Energy above the lowest structure with this stoichiometry: 0.2603 eV per atom
VASP energy: -5.675 eV/atom



Below is an optimized crystal structure of LiMo2Ir, with properties calculated at the PBE level.

Unit cell a=2.6936 b=2.6936 c=9.0584 alpha=90.00 beta=90.00 gamma=111.18
Closest atoms and distances in Å follow each position.
Fractional positions:
Ir 0.0000 0.0000 0.4995  2 Li 2.64, 2 Mo 2.69, 4 Ir 2.69
Li 0.5000 0.5000 0.7381  2 Ir 2.64, 4 Li 2.69, 2 Mo 2.87
Mo 0.0000 0.0000 0.0073  6 Mo 2.69-2.71, 2 Li 2.87
Mo 0.5000 0.5000 0.2551  2 Ir 2.69, 6 Mo 2.69-2.71

Output
SG: Cmm2
Formation enthalpy at 0 K: 0.57 eV/f.u.
Energy above the lowest structure with this stoichiometry: 0.1222 eV per atom
VASP energy: -7.967 eV/atom



Below is an optimized crystal structure of LiMoIr2, with properties calculated at the PBE level.

Unit cell a=4.3185 b=4.3185 c=4.3185 alpha=60.00 beta=60.00 gamma=60.00
Closest atoms and distances in Å follow each position.
Fractional positions:
Mo 0.7500 0.7500 0.7500  4 Li 2.64, 4 Ir 2.64
Ir 0.0000 0.0000 0.0000  4 Ir 2.64, 4 Mo 2.64
Ir 0.2500 0.2500 0.2500  4 Li 2.64, 4 Ir 2.64
Li 0.5000 0.5000 0.5000  4 Mo 2.64, 4 Ir 2.64

Output
SG: F-43m
Formation enthalpy at 0 K: 0.51 eV/f.u.
Energy above the lowest structure with this stoichiometry: 0.3325 eV per atom
VASP energy: -7.489 eV/atom